First-principles (SCAN) data for a PBEsol-optimized structure of KNi3, as listed in Alexandria via LeMat-Bulk.

abc: 2.5265 4.8529 5.5521
angles: 115.91 103.15 90.00
With the nearest neighbours (Å) after each atom.
Atoms (fractional coordinates):
1 K 0.0000 0.0000 0.0000  2 K 2.53, 4 Ni 2.74
2 Ni 0.7897 0.2897 0.5794  4 Ni 2.39-2.53
3 Ni 0.5000 0.5000 0.0000  6 Ni 2.39-2.53
4 Ni 0.2103 0.7103 0.4206  4 Ni 2.39-2.53

**Total magnetization**: 2.06 μB/cell
**Offset from the most stable computed form**: 232 meV/atom
**Space group**: Immm
**Formation energy**: 0.834 eV/atom
**Mass density**: 6.03 g/cm³
**E_tot**: -13.378 eV per atom